K3NaSe2O8: relaxed, PBE.

Lattice parameters (Å, degrees): 5.9752 5.9752 15.4021 89.86 89.86 59.98
Last column: nearest neighbours and their distance in Å.
Fractional positions:
K  0.6438  0.6955  0.9070  4 O 2.65-2.97
O  0.8593  0.7714  0.0943  1 Se 1.68
O  0.2262  0.5949  0.4231  1 Se 1.68
O  0.1407  0.2286  0.9057  1 Se 1.68
K  0.3045  0.3562  0.5930  4 O 2.65-2.97
O  0.7738  0.4051  0.5769  1 Se 1.68
O  0.2766  0.3871  0.2625  1 Se 1.66
K  0.6955  0.6438  0.4070  4 O 2.65-2.97
O  0.4051  0.7738  0.0769  1 Se 1.68
Na  0.0000  0.0000  0.5000  6 O 2.41-2.47
O  0.1543  0.6759  0.8820  1 Se 1.68
O  0.6759  0.1543  0.3820  1 Se 1.68
Se  0.3169  0.3546  0.8665  4 O 1.66-1.68
K  0.0527  0.9473  0.2500  6 O 2.82-3.07
K  0.3562  0.3045  0.0930  4 O 2.65-2.97
Se  0.3546  0.3169  0.3665  4 O 1.66-1.68
O  0.3871  0.2766  0.7625  1 Se 1.66
Na  0.0000  0.0000  0.0000  6 O 2.41-2.47
K  0.9473  0.0527  0.7500  6 O 2.82-3.07
O  0.3241  0.8457  0.6180  1 Se 1.68
O  0.7234  0.6129  0.7375  1 Se 1.66
O  0.5949  0.2262  0.9231  1 Se 1.68
O  0.8457  0.3241  0.1180  1 Se 1.68
O  0.7714  0.8593  0.5943  1 Se 1.68
O  0.6129  0.7234  0.2375  1 Se 1.66
Se  0.6454  0.6831  0.6335  4 O 1.66-1.68
Se  0.6831  0.6454  0.1335  4 O 1.66-1.68
O  0.2286  0.1407  0.4057  1 Se 1.68

formation energy from raw total energies	-1.40	eV/atom
D(E_F)	0.00	states/eV/cell



KNa2SiO4: relaxed, PBE.

Lattice parameters (Å, degrees): 5.5200 5.5200 5.5200 118.04 118.04 93.43
Last column: nearest neighbours and their distance in Å.
Fractional positions:
O  0.0463  0.0463  0.3388  1 Si 1.65
O  0.2926  0.9537  0.0000  1 Si 1.65
K  0.5000  0.5000  0.0000  4 O 2.82
Na  0.2500  0.7500  0.5000  4 O 2.32
O  0.7074  0.7074  0.6612  1 Si 1.65
O  0.9537  0.2926  0.0000  1 Si 1.65
Si  0.0000  0.0000  0.0000  4 O 1.65
Na  0.7500  0.2500  0.5000  4 O 2.32

formation energy from raw total energies	-1.97	eV/atom
D(E_F)	8.46	states/eV/cell



K4Na2Si6O15: relaxed, PBE.

Lattice parameters (Å, degrees): 7.4254 10.7091 12.6382 66.28 72.92 69.72
Last column: nearest neighbours and their distance in Å.
Fractional positions:
K  0.4254  0.1635  0.3343  3 O 2.64-2.90
O  0.0618  0.8347  0.4329  2 Si 1.66-1.67
O  0.2291  0.2500  0.7500  2 Si 1.64
Si  0.8752  0.9662  0.3827  4 O 1.59-1.67
O  0.2286  0.9515  0.5182  2 Si 1.67
Na  0.1696  0.9277  0.9098  4 O 2.32-2.45
Si  0.8144  0.7519  0.1142  4 O 1.59-1.67
O  0.1408  0.1050  0.9790  1 Si 1.59
O  0.6172  0.7188  0.1035  2 Si 1.67
K  0.5746  0.8365  0.6657  3 O 2.64-2.90
O  0.5606  0.2188  0.6035  2 Si 1.67
Si  0.5455  0.6980  0.9990  4 O 1.59-1.67
O  0.9382  0.1653  0.5671  2 Si 1.66-1.67
O  0.3828  0.2812  0.8965  2 Si 1.67
K  0.4383  0.5387  0.3347  3 O 2.65-2.75
O  0.8592  0.8950  0.0210  1 Si 1.59
Na  0.9929  0.4277  0.4098  4 O 2.32-2.45
Si  0.3196  0.2519  0.6142  4 O 1.59-1.67
O  0.0077  0.3898  0.8985  2 Si 1.66
Si  0.2241  0.5338  0.1173  4 O 1.59-1.67
O  0.7598  0.3319  0.3831  1 Si 1.59
Si  0.7759  0.4662  0.8827  4 O 1.59-1.67
O  0.6706  0.3347  0.9329  2 Si 1.66-1.67
O  0.2961  0.1102  0.6015  2 Si 1.66
O  0.2402  0.6681  0.6169  1 Si 1.59
O  0.9923  0.6102  0.1015  2 Si 1.66
Si  0.1856  0.2481  0.8858  4 O 1.59-1.67
Si  0.6804  0.7481  0.3859  4 O 1.59-1.67
O  0.7714  0.0485  0.4818  2 Si 1.67
Si  0.4545  0.3020  0.0010  4 O 1.59-1.67
O  0.7709  0.7500  0.2500  2 Si 1.64
O  0.7753  0.6050  0.4790  1 Si 1.59
K  0.5617  0.4613  0.6653  3 O 2.65-2.75
O  0.6983  0.5485  0.9818  2 Si 1.67
K  0.9232  0.3365  0.1657  3 O 2.64-2.90
O  0.5253  0.8319  0.8831  1 Si 1.59
Si  0.7574  0.1980  0.4990  4 O 1.59-1.67
K  0.0768  0.6635  0.8343  3 O 2.64-2.90
O  0.9263  0.0668  0.2520  1 Si 1.59
O  0.2247  0.3950  0.5210  1 Si 1.59
O  0.2451  0.4332  0.2480  1 Si 1.59
Si  0.2426  0.8020  0.5010  4 O 1.59-1.67
O  0.7039  0.8898  0.3985  2 Si 1.66
K  0.3117  0.9613  0.1653  3 O 2.65-2.75
Si  0.1248  0.0338  0.6173  4 O 1.59-1.67
O  0.3017  0.4515  0.0182  2 Si 1.67
O  0.7549  0.5668  0.7520  1 Si 1.59
O  0.3294  0.6653  0.0671  2 Si 1.66-1.67
Na  0.0071  0.5723  0.5902  4 O 2.32-2.45
O  0.4394  0.7812  0.3965  2 Si 1.67
O  0.4747  0.1681  0.1169  1 Si 1.59
O  0.0737  0.9332  0.7480  1 Si 1.59
K  0.6883  0.0387  0.8347  3 O 2.65-2.75
Na  0.8304  0.0723  0.0902  4 O 2.32-2.45

formation energy from raw total energies	-2.53	eV/atom
D(E_F)	0.00	states/eV/cell



K2NaSn3O8: relaxed, PBE.

Lattice parameters (Å, degrees): 6.5038 6.5038 7.4806 64.23 64.23 60.00
Last column: nearest neighbours and their distance in Å.
Fractional positions:
K  0.1306  0.1306  0.6083  4 O 2.58-2.72
O  0.7557  0.7557  0.1796  2 Sn 2.09, 1 Na 2.19
K  0.4971  0.4971  0.5088  6 O 2.71-2.73
Sn  0.4973  0.4973  0.0101  6 O 2.09-2.21
Sn  0.9953  0.4973  0.0101  6 O 2.09-2.21
O  0.7227  0.7227  0.8319  3 Sn 2.20
Na  0.9039  0.9039  0.2883  3 O 2.19
O  0.2373  0.6828  0.8425  2 Sn 2.09
Sn  0.4973  0.9953  0.0101  6 O 2.09-2.21
O  0.2706  0.2706  0.1882  3 Sn 2.21
O  0.7557  0.3089  0.1796  2 Sn 2.09, 1 Na 2.19
O  0.2373  0.2373  0.8425  2 Sn 2.09
O  0.3089  0.7557  0.1796  2 Sn 2.09, 1 Na 2.19
O  0.6828  0.2373  0.8425  2 Sn 2.09

formation energy from raw total energies	-1.52	eV/atom
D(E_F)	5.95	states/eV/cell



KNaSnO2: relaxed, PBE.

Lattice parameters (Å, degrees): 3.8540 6.0843 9.1799 107.70 90.00 108.46
Last column: nearest neighbours and their distance in Å.
Fractional positions:
K  0.6600  0.3200  0.5896  3 O 2.65-2.86
Sn  0.0346  0.0692  0.1976  4 O 2.10-2.35
Na  0.7248  0.4497  0.0971  4 O 2.23-2.40
O  0.8764  0.7528  0.9692  2 Sn 2.10-2.30, 2 Na 2.23
K  0.3400  0.6800  0.4104  3 O 2.65-2.86
Na  0.2752  0.5503  0.9029  4 O 2.23-2.40
O  0.3514  0.7027  0.7028  1 Na 2.28, 2 Sn 2.35
O  0.6486  0.2973  0.2972  1 Na 2.28, 2 Sn 2.35
O  0.1236  0.2472  0.0308  2 Sn 2.10-2.30, 2 Na 2.23
Sn  0.9654  0.9308  0.8024  4 O 2.10-2.35

formation energy from raw total energies	-1.28	eV/atom



KNa2Sn3O8: relaxed, PBE.

Lattice parameters (Å, degrees): 6.4889 6.4889 7.0481 62.59 62.59 60.00
Last column: nearest neighbours and their distance in Å.
Fractional positions:
Sn  0.0030  0.5006  0.9958  6 O 2.09-2.21
O  0.7481  0.3187  0.1850  2 Sn 2.09
O  0.3187  0.7481  0.1850  2 Sn 2.09
O  0.2461  0.6961  0.8117  2 Sn 2.09, 1 Na 2.29
Na  0.4993  0.4994  0.5020  6 O 2.48-2.50
O  0.7294  0.7294  0.8119  3 Sn 2.18
O  0.2689  0.2689  0.1932  3 Sn 2.20-2.21
O  0.7481  0.7481  0.1850  2 Sn 2.09
Na  0.1191  0.1191  0.6427  3 O 2.29
Sn  0.5006  0.0030  0.9958  6 O 2.09-2.21
K  0.8684  0.8684  0.3947  4 O 2.48-2.49
O  0.6961  0.2461  0.8117  2 Sn 2.09, 1 Na 2.29
Sn  0.5006  0.5006  0.9958  6 O 2.09-2.20
O  0.2461  0.2461  0.8117  2 Sn 2.09, 1 Na 2.29

formation energy from raw total energies	-1.53	eV/atom
D(E_F)	5.99	states/eV/cell